No. 1
A relaxed structure of HfTlHg3, computed with GGA-PBE.

a b c (Å): 5.5945 5.5945 5.5945
angles (deg): 90.00 90.00 90.00
Sites, in units of the cell vectors:
Hf 0.0000 0.0000 0.0000
Tl 0.5000 0.5000 0.5000
Hg 0.0000 0.0000 0.5000
Hg 0.0000 0.5000 0.0000
Hg 0.5000 0.0000 0.0000

E_form in meV/atom: 476
DFT total energy in Ry per atom: -0.159
Density of states at the Fermi level in states/eV per atom: 1.713
M_tot in μB per formula unit: 0.0
Energy relative to the lowest polymorph listed for this composition in meV per atom: 0


No. 2
A relaxed structure of HfTlHg, computed with GGA-PBE.

a b c (Å): 8.8021 8.7088 6.8281
angles (deg): 67.77 66.33 45.90
Sites, in units of the cell vectors:
Hf 0.0347 0.7153 0.7153
Hf 0.2847 0.9653 0.9653
Hf 0.7153 0.0347 0.0347
Hf 0.9653 0.2847 0.2847
Tl 0.0000 0.5000 0.5000
Tl 0.5000 0.0000 0.5000
Tl 0.5000 0.5000 0.0000
Tl 0.5000 0.5000 0.5000
Hg 0.0431 0.0431 0.7069
Hg 0.2931 0.2931 0.9569
Hg 0.7069 0.7069 0.0431
Hg 0.9569 0.9569 0.2931

E_form in meV/atom: 417
DFT total energy in Ry per atom: -0.279
Density of states at the Fermi level in states/eV per atom: 0.930
M_tot in μB per formula unit: 0.0
Energy relative to the lowest polymorph listed for this composition in meV per atom: 259


No. 3
A relaxed structure of HfTlHg, computed with GGA-PBE.

a b c (Å): 3.2315 3.2315 13.2892
angles (deg): 90.00 90.00 90.00
Sites, in units of the cell vectors:
Hf 0.0000 0.0000 0.0000
Hf 0.5000 0.5000 0.5000
Tl 0.0000 0.0000 0.6666
Tl 0.5000 0.5000 0.1666
Hg 0.0000 0.0000 0.3476
Hg 0.5000 0.5000 0.8476

E_form in meV/atom: 159
DFT total energy in Ry per atom: -0.298
Density of states at the Fermi level in states/eV per atom: 0.618
M_tot in μB per formula unit: 0.0
Energy relative to the lowest polymorph listed for this composition in meV per atom: 0


Q: E_form of number 1 (HfTlHg3)?
A: 476 meV/atom


Q: density of states at the Fermi level of number 3 (HfTlHg)?
A: 0.618 states/eV per atom


What did the first record say?
A relaxed structure of HfTlHg3, computed with GGA-PBE.

a b c (Å): 5.5945 5.5945 5.5945
angles (deg): 90.00 90.00 90.00
Sites, in units of the cell vectors:
Hf 0.0000 0.0000 0.0000
Tl 0.5000 0.5000 0.5000
Hg 0.0000 0.0000 0.5000
Hg 0.0000 0.5000 0.0000
Hg 0.5000 0.0000 0.0000

E_form in meV/atom: 476
DFT total energy in Ry per atom: -0.159
Density of states at the Fermi level in states/eV per atom: 1.713
M_tot in μB per formula unit: 0.0
Energy relative to the lowest polymorph listed for this composition in meV per atom: 0


Q: Number 2 is which compound?
A: HfTlHg